Entry 1:
VASP calculation (PBE) on an optimized crystal structure of Mo2Ru.

Cell: 7.4088 7.4088 4.3694 Å, 90.00 90.00 157.34°
Positions (direct):
Ru 0.3945 0.6055 0.7500
Ru 0.6055 0.3945 0.2500
Mo 0.0601 0.9399 0.7500
Mo 0.2567 0.7433 0.2500
Mo 0.7433 0.2567 0.7500
Mo 0.9399 0.0601 0.2500

Output
ρ (g cm⁻³): 10.53
Distance to the lowest polymorph of the same formula (meV per atom): 135
Space group: Cmcm (63)
Formation enthalpy at 0 K (meV/atom): 143
DOS at the Fermi energy (states/eV/cell): 6.5



Entry 2:
VASP calculation (PBE) on an optimized crystal structure of HoGa12Ir4.

Cell: 7.6343 7.6343 7.6343 Å, 109.47 109.47 109.47°
Positions (direct):
Ir 0.5000 0.5000 0.5000
Ir 0.5000 0.0000 0.0000
Ir 0.0000 0.0000 0.5000
Ir 0.0000 0.5000 0.0000
Ga 0.8414 0.6629 0.5042
Ga 0.5042 0.8414 0.6629
Ga 0.6629 0.8215 0.1586
Ga 0.1785 0.8414 0.3371
Ga 0.8414 0.3371 0.1785
Ga 0.4958 0.1586 0.3371
Ga 0.6629 0.5042 0.8414
Ga 0.8215 0.1586 0.6629
Ga 0.3371 0.1785 0.8414
Ga 0.3371 0.4958 0.1586
Ga 0.1586 0.3371 0.4958
Ga 0.1586 0.6629 0.8215
Ho 0.0000 0.0000 0.0000

Output
ρ (g cm⁻³): 8.58
Space group: Im-3 (204)
Formation enthalpy at 0 K (meV/atom): -160
DOS at the Fermi energy (states/eV/cell): 6.5